*one*
9
Lattice="8.8419 0.0000 0.0000 -4.4210 7.6574 0.0000 0.0000 0.0000 7.0759" Properties=species:S:1:pos:R:3 comment="KRbNd PBE optimized geometry" sg="P-62m, No. 189" pbc="T T T"
Nd 2.0872 3.6151 3.5379
Nd 4.6676 0.0000 3.5379
Nd -2.3338 4.0422 3.5379
Rb -1.0868 1.8823 0.0000
Rb 2.1735 0.0000 0.0000
Rb 3.3342 5.7750 0.0000
K 4.4210 2.5524 0.0000
K 0.0000 0.0000 3.5379
K 0.0000 5.1049 0.0000



*two*
3
Lattice="0.0000 4.7358 4.7358 4.7358 0.0000 4.7358 4.7358 4.7358 0.0000" Properties=species:S:1:pos:R:3 comment="KRbNd PBE optimized geometry" sg="F-43m, No. 216" pbc="T T T"
K 0.0000 0.0000 0.0000
Nd 2.3679 2.3679 2.3679
Rb 7.1037 7.1037 7.1037



Result of the stability comparison: *two* is the least stable of them.



*one*
4
Lattice="2.7830 -3.1243 1.4026 0.4330 -0.7915 4.3196 -1.5742 -3.7439 1.7259" Properties=species:S:1:pos:R:3 comment="KNi3 PBE optimized geometry" sg="Fm-3m, No. 225" pbc="T T T"
Ni 0.0000 0.0000 0.0000
Ni 0.4104 -1.9149 1.8620
Ni 0.8209 -3.8298 3.7241
K 1.2313 -5.7447 5.5861



*two*
8
Lattice="-3.9097 5.6031 -1.0489 -1.4798 -5.9082 -3.2687 -2.3833 -1.0916 3.0521" Properties=species:S:1:pos:R:3 comment="KNi3 PBE optimized geometry" sg="P6_3/mmc, No. 194" pbc="T T T"
K -4.0772 -2.8898 -0.2397
K -3.6955 1.4931 -1.0258
Ni -1.3690 -0.9723 -0.0909
Ni -6.4037 -0.4244 -1.1746
Ni -2.3491 -4.8854 -2.2558
Ni -5.4236 3.4887 0.9903
Ni -2.8342 -0.2223 1.6850
Ni -4.9386 -1.1743 -2.9505



Result of the stability comparison: *one* is the least stable of them.



*one*
6
Lattice="4.6135 2.6636 7.5338 -4.6135 2.6636 7.5338 0.0000 -5.3272 7.5338" Properties=species:S:1:pos:R:3 comment="K2Ni PBE optimized geometry" sg="Fd-3m, No. 227" pbc="T T T"
K 0.0000 -2.6636 12.2425
K -2.3068 1.3318 12.2425
K 2.3068 1.3318 12.2425
K 0.0000 0.0000 8.4756
Ni 0.0000 0.0000 11.3007
Ni 0.0000 0.0000 5.6504



*two*
6
Lattice="-6.7457 -3.5205 -0.5723 0.9575 -2.9670 6.9647 -2.2021 3.9002 1.9643" Properties=species:S:1:pos:R:3 comment="K2Ni PBE optimized geometry" sg="P4_2/mnm, No. 136" pbc="T T T"
K -1.7676 -1.9812 1.9521
K -6.3477 -1.4627 1.8766
K -1.6427 -1.1246 6.4800
K -4.0205 -4.5063 4.4402
Ni 0.0000 0.0000 0.0000
Ni -3.9952 -1.2937 4.1783



Result of the stability comparison: *one* is the least stable of them.



*one*
12
Lattice="6.3843 -3.3288 0.0000 6.3843 3.3288 0.0000 -4.6785 0.0000 8.1875" Properties=species:S:1:pos:R:3 comment="KRbNiSeS2 PBE optimized geometry" sg="C2/m, No. 12" pbc="T T T"
K -0.5189 0.0000 2.9461
K 8.6091 0.0000 5.2414
Rb 3.2155 0.0000 1.4698
Rb 4.8747 0.0000 6.7177
Ni 1.2224 0.0000 6.9606
Ni 6.8678 0.0000 1.2268
S 6.3843 -1.7018 0.0000
S 6.1389 0.0000 3.2221
S 6.3843 1.7018 0.0000
S 1.9513 0.0000 4.9654
Se 9.0025 0.0000 2.0117
Se -0.9122 0.0000 6.1757



*two*
12
Lattice="6.6323 0.0000 0.0000 -3.2952 6.1887 0.0000 -3.2306 -1.8961 8.1674" Properties=species:S:1:pos:R:3 comment="KRbNiSeS2 PBE optimized geometry" sg="P-1, No. 2" pbc="T T T"
Rb 3.3789 -0.8666 5.3997
Rb -3.2724 5.1592 2.7678
S -1.6452 2.1149 4.0734
S 1.7517 2.1777 4.0941
S 0.0753 -0.3545 6.1099
S 0.0312 4.6471 2.0575
Se 0.0956 1.8270 0.7589
Se 0.0109 2.4656 7.4085
Ni 0.0478 2.6839 2.8742
Ni 0.0587 1.6087 5.2932
K 3.4070 1.5742 1.1197
K -3.3006 2.7183 7.0477



Result of the stability comparison: *one* is the least stable of them.



*one*
24
Lattice="-9.2867 -6.6357 0.1121 2.4716 -3.4573 0.1030 -0.0959 0.3997 15.7209" Properties=species:S:1:pos:R:3 comment="KTbNiTe3 PBE optimized geometry" sg="Pnma, No. 62" pbc="T T T"
Te -6.7156 -8.4273 9.8755
Te -3.4003 -6.0564 9.9035
Te 1.2183 -2.6355 13.9017
Te -5.2509 -7.5223 5.1029
Te -4.8132 -4.6904 1.9262
Te -0.5952 -4.2558 3.0267
Te -1.6601 -2.1710 10.8331
Te -0.1954 -1.2660 6.0605
Te -8.1293 -7.0578 2.0342
Te -6.3158 -5.4375 12.9093
Te -3.5107 -3.6369 6.0325
Te -2.0978 -5.0029 14.0098
Tb 1.7087 -2.5784 4.0470
Tb -2.9342 -5.8982 4.0269
Tb -3.9768 -3.7951 11.9091
Tb -8.6197 -7.1149 11.8890
Ni -1.8237 -2.4775 4.4680
Ni -5.0873 -7.2158 11.4680
Ni -0.4498 -3.8734 12.3777
Ni -6.4612 -5.8199 3.5583
K -5.3472 -7.2726 15.7973
K -0.6569 -4.1502 8.0540
K -6.2541 -5.5431 7.8819
K -1.5638 -2.4207 0.1387



*two*
24
Lattice="-4.4585 0.4749 -0.3794 0.1867 -6.2492 -10.0179 -1.8272 -11.4670 7.1191" Properties=species:S:1:pos:R:3 comment="KTbNiTe3 PBE optimized geometry" sg="Pnma, No. 62" pbc="T T T"
K -0.9668 -5.1546 -8.4343
K -4.1416 -9.5803 -3.3486
K -5.1322 -12.0866 5.1562
K -1.9574 -7.6609 0.0704
Te -3.3207 -4.0915 -6.1250
Te -2.7783 -13.1497 2.8469
Te -1.9561 -11.7005 -5.0016
Te -4.1429 -5.5407 1.7235
Te -3.8413 -6.0666 -2.4799
Te -4.5788 -9.4415 1.9630
Te -1.4456 -3.6210 -0.8866
Te -3.5006 -7.6395 -8.4522
Te -4.6534 -13.6202 -2.3915
Te -2.5984 -9.6017 5.1740
Te -2.2577 -11.1746 -0.7982
Te -1.5202 -7.7997 -5.2411
Ni -2.5025 -10.5932 2.8068
Ni -3.5965 -6.6480 -6.0849
Ni -3.8256 -4.3756 -0.5470
Ni -2.2734 -12.8656 -2.7312
Tb -1.5355 -9.9364 -7.7372
Tb -4.7713 -12.3193 0.6234
Tb -4.5635 -7.3048 4.4590
Tb -1.3277 -4.9220 -3.9015



*three*
12
Lattice="-9.0521 -0.2748 0.3591 -7.7756 -4.6179 0.6004 1.9186 1.0667 9.0527" Properties=species:S:1:pos:R:3 comment="KTbNiTe3 PBE optimized geometry" sg="C2/m, No. 12" pbc="T T T"
Tb -2.6945 -0.7374 0.9826
Tb -12.2145 -3.0886 9.0295
K -1.3393 -0.0952 5.3745
K -13.5698 -3.7308 4.6377
Ni -6.8307 -1.5631 8.0048
Ni -8.0784 -2.2629 2.0074
Te -4.6705 -1.0007 6.6982
Te -5.5640 -1.5446 1.6348
Te -10.2386 -2.8253 3.3140
Te 0.0000 0.0000 0.0000
Te -9.3451 -2.2814 8.3774
Te -7.4545 -1.9130 5.0061



Result of the stability comparison: *three* is the least stable of them.



*one*
24
Lattice="16.2027 0.0000 0.0000 0.0000 4.2826 0.0000 0.0000 0.0000 11.3901" Properties=species:S:1:pos:R:3 comment="KTbNiTe3 PBE optimized geometry" sg="Pnma, No. 62" pbc="T T T"
Te 9.8096 1.0706 10.4553
Te 10.3487 3.2119 2.9095
Te 15.0788 1.0706 1.0973
Te 2.2474 3.2119 2.7855
Te 1.1240 3.2119 10.2928
Te 5.8540 1.0706 8.4806
Te 9.2253 3.2119 6.7923
Te 6.3931 3.2119 0.9348
Te 13.9553 1.0706 8.6046
Te 1.7082 1.0706 6.6298
Te 14.4945 3.2119 4.7602
Te 6.9774 1.0706 4.5978
Ni 8.3081 3.2119 4.4270
Ni 7.8946 1.0706 6.9631
Ni 15.9959 1.0706 10.1220
Ni 0.2068 3.2119 1.2681
Tb 7.7538 3.2119 9.5982
Tb 0.3476 1.0706 3.9032
Tb 8.4489 1.0706 1.7919
Tb 15.8552 3.2119 7.4869
K 12.4935 3.2119 11.0973
K 3.7092 1.0706 0.2928
K 4.3922 3.2119 5.9879
K 11.8105 1.0706 5.4022



*two*
12
Lattice="3.4557 3.8970 7.0674 -6.3465 -4.4988 -4.0693 4.7473 -9.1725 2.7365" Properties=species:S:1:pos:R:3 comment="KTbNiTe3 PBE optimized geometry" sg="Cmcm, No. 63" pbc="T T T"
Te 1.7126 -9.6599 2.6657
Te 3.8371 0.9140 6.8364
Te 0.1439 -0.1143 3.0689
Te -1.9806 -10.6882 -1.1019
Te 1.6750 -3.0728 3.9515
Te 0.1815 -6.7014 1.7831
Ni 2.0195 -7.2621 3.4428
Ni -0.1630 -2.5121 2.2917
Tb 0.0000 0.0000 0.0000
Tb 2.3737 -4.5862 1.3682
K -2.6678 -4.6575 -0.5540
K 4.5243 -5.1167 6.2886



*three*
24
Lattice="-10.3952 -2.3652 -1.2025 0.8668 -1.8742 -3.8063 2.3096 -13.8974 7.3688" Properties=species:S:1:pos:R:3 comment="KTbNiTe3 PBE optimized geometry" sg="Pnma, No. 62" pbc="T T T"
Tb -2.7963 -2.9489 -2.8797
Tb -0.1367 -8.5195 2.9321
Tb -4.4226 -15.1879 5.2396
Tb -7.0822 -9.6173 -0.5722
Te 0.7709 -5.8122 1.8058
Te -2.1952 -14.7342 3.0602
Te -5.5813 -9.1587 2.0070
Te -6.2841 -6.9029 -1.7270
Te -6.0319 -13.0213 3.8063
Te 0.7201 -14.6175 6.1298
Te -1.6376 -8.9781 0.3529
Te -1.1869 -5.1155 -1.4464
Te -7.9390 -3.5193 -3.7698
Te -5.0237 -3.4026 -0.7002
Te -0.9348 -11.2339 4.0869
Te -7.9898 -12.3246 0.5542
Ni -1.3528 -13.5053 5.1102
Ni -0.0720 -7.0382 -0.2458
Ni -5.8661 -4.6315 -2.7502
Ni -7.1469 -11.0986 2.6058
K -3.7607 -6.1710 0.9505
K -9.3400 -5.0569 -0.8685
K 2.1211 -13.0799 3.2285
K -3.4582 -11.9658 1.4094



Result of the stability comparison: *three* is the least stable of them.



*one*
12
Lattice="-2.4225 5.2815 2.6861 0.5990 -5.3592 3.4506 6.4687 1.9768 1.9470" Properties=species:S:1:pos:R:3 comment="K2OsO3 PBE optimized geometry" sg="P-3, No. 147" pbc="T T T"
O 1.1997 -0.0445 2.4140
O 4.0477 2.8476 2.7518
O 0.5974 -0.9485 5.3319
O 3.4454 1.9436 5.6697
O 1.8246 -2.9628 3.3000
O 2.8205 4.8619 4.7837
K 3.2343 0.9884 0.9735
K 0.2227 2.2352 3.4340
K 0.0000 0.0000 0.0000
K 4.4224 -0.3361 4.6497
Os 1.2057 -1.3193 3.6815
Os 3.4394 3.2184 4.4022



*two*
12
Lattice="1.6014 -0.6826 -5.7640 -4.5805 -2.2020 -3.2287 -1.8704 5.6302 -1.1864" Properties=species:S:1:pos:R:3 comment="K2OsO3 PBE optimized geometry" sg="Cmcm, No. 63" pbc="T T T"
K -2.7956 3.5103 -2.0742
K -0.0989 1.1282 -2.2035
K -2.0539 -0.7647 -8.1048
K -4.7506 1.6174 -7.9756
O -1.8598 -1.8008 -5.6139
O -1.1193 -1.0838 -3.3788
O -5.0317 2.2545 -4.5087
O 0.1822 0.4911 -5.6703
O -2.0545 1.7313 -3.9719
O -2.7949 1.0143 -6.2071
Os -3.3259 2.6738 -5.2083
Os -1.5235 0.0718 -4.9708



Result of the stability comparison: *two* is the least stable of them.



*one*
9
Lattice="11.3609 0.0000 0.0000 0.0000 3.3108 0.0000 0.0000 0.0000 3.3108" Properties=species:S:1:pos:R:3 comment="K2Os2O5 PBE optimized geometry" sg="P4/mmm, No. 123" pbc="T T T"
O 1.1356 1.6554 0.0000
O 5.6804 1.6554 1.6554
O 10.2252 1.6554 0.0000
O 1.1356 0.0000 1.6554
O 10.2252 0.0000 1.6554
Os 0.0000 0.0000 0.0000
Os 5.6804 0.0000 0.0000
K 3.0484 1.6554 1.6554
K 8.3125 1.6554 1.6554



*two*
9
Lattice="-7.5045 -3.9624 0.3589 1.7857 -3.3755 0.0731 0.1085 0.1401 3.8153" Properties=species:S:1:pos:R:3 comment="K2Os2O5 PBE optimized geometry" sg="P4/mmm, No. 123" pbc="T T T"
K -3.7522 -1.9812 0.1794
K 0.0000 0.0000 0.0000
O -1.7391 -0.8769 1.9934
O -2.8051 -3.5989 2.1237
O -0.9005 -2.6346 0.1223
O -5.6569 -2.9455 2.1808
O -4.8182 -4.7032 0.3097
Os -0.9375 -2.6128 2.0343
Os -4.6728 -4.5850 2.2130



Result of the stability comparison: *one* is the least stable of them.



*one*
8
Lattice="-2.0605 1.6666 3.2475 -5.1669 -4.8112 -0.8093 3.1247 -4.0378 4.0548" Properties=species:S:1:pos:R:3 comment="KOsSeO PBE optimized geometry" sg="Pmc2_1, No. 26" pbc="T T T"
O -3.3332 -6.4039 3.8766
O -0.8755 -0.6416 2.4789
Se 0.7446 -3.5831 2.3113
Se -3.6270 -4.1801 -0.1561
K -1.6575 -5.8253 1.9379
K -1.2200 -1.9443 0.2237
Os -5.6828 -3.6801 0.9881
Os 0.1807 -1.6940 3.6891



*two*
16
Lattice="7.3346 0.0000 -0.5913 0.0000 6.2996 0.0000 -1.5127 0.0000 6.3829" Properties=species:S:1:pos:R:3 comment="KOsSeO PBE optimized geometry" sg="P2_1/c, No. 14" pbc="T T T"
Se 0.8222 0.7220 5.4006
Se 1.5786 2.4278 2.2092
Se 4.9996 5.5776 0.3910
Se 4.2433 3.8719 3.5824
Os 2.7271 5.5807 4.4101
Os 2.3384 2.4309 4.5730
Os 3.4835 3.8688 1.2186
Os 3.0947 0.7190 1.3816
K -0.0972 4.7204 3.3804
K 0.6592 4.7291 0.1889
K 5.9190 1.5793 2.4112
K 5.1627 1.5706 5.6027
O 2.1630 5.4531 2.2670
O 3.6588 0.8466 3.5246
O 4.4152 2.3033 0.3331
O 1.4066 3.9964 5.4585



Result of the stability comparison: *two* is the least stable of them.